Below is a relaxed Sr2PrSn4Ir3 crystal, with properties calculated at the GGA-PBE level.

Structure (POSCAR):
```
Sr2PrSn4Ir3
1.0
-4.3882 0.7603 0.9934
0.9867 -0.1240 4.4533
2.0520 12.0001 -0.1204
Pr Ir Sn Sr
1 3 4 2
Cartesian
-0.6747 6.3182 2.6632
-0.3820 10.9770 0.3904
1.0260 6.0001 -0.0602
0.7333 1.3412 2.2126
-0.8221 8.4036 0.4162
1.1733 3.9146 2.1868
-1.7007 0.3182 2.7234
0.0000 0.0000 0.0000
-1.7241 3.1283 0.4691
2.0754 9.1899 2.1338
```

Results
DOS(E_F) = 8.4 states/eV/cell
Energy relative to the elements = -430 meV per atom
Raw total energy = -0.202 Ha/atom